(1)
VASP calculation (PBE) on a relaxed Y2ScCdCo crystal.

The structure in POSCAR format:
```
Y2ScCdCo
1.0
5.238 0.000 0.000
0.000 5.238 0.000
0.000 0.000 4.766
Y Sc Cd Co
2 1 1 1
Direct
0.000 0.500 0.000 Y
0.500 0.000 0.000 Y
0.000 0.000 0.500 Sc
0.500 0.500 0.500 Cd
0.000 0.000 0.000 Co
```

Summary:
Symmetry ... P4/mmm, No. 123
Energy of formation ... -0.5 eV per formula unit

---

(2)
VASP calculation (PBE) on a relaxed YScCdCo crystal.

The structure in POSCAR format:
```
YScCdCo
1.0
3.318 0.000 0.000
0.000 3.318 0.000
0.000 0.000 7.466
Y Sc Cd Co
1 1 1 1
Direct
0.000 0.000 0.000 Y
0.000 0.000 0.577 Sc
0.500 0.500 0.309 Cd
0.500 0.500 0.763 Co
```

Summary:
Symmetry ... P4mm, No. 99
Relative energy among the computed polymorphs ... 0.0 meV per atom
Energy of formation ... -1.2 eV per formula unit

---

(3)
VASP calculation (PBE) on a relaxed Sc5ZnCd2Co2 crystal.

The structure in POSCAR format:
```
Sc5ZnCd2Co2
1.0
10.839 0.000 0.000
0.000 10.839 0.000
0.000 0.000 3.321
Sc Zn Cd Co
10 2 4 4
Direct
0.000 0.500 0.000 Sc
0.075 0.207 0.000 Sc
0.207 0.925 0.000 Sc
0.293 0.425 0.000 Sc
0.425 0.707 0.000 Sc
0.500 0.000 0.000 Sc
0.575 0.293 0.000 Sc
0.707 0.575 0.000 Sc
0.793 0.075 0.000 Sc
0.925 0.793 0.000 Sc
0.000 0.000 0.500 Zn
0.500 0.500 0.500 Zn
0.174 0.674 0.500 Cd
0.326 0.174 0.500 Cd
0.674 0.826 0.500 Cd
0.826 0.326 0.500 Cd
0.128 0.372 0.500 Co
0.372 0.872 0.500 Co
0.628 0.128 0.500 Co
0.872 0.628 0.500 Co
```

Summary:
Symmetry ... P4/mbm, No. 127
Energy of formation ... -2.8 eV per formula unit

---

(4)
VASP calculation (PBE) on a relaxed CdCo2Se2 crystal.

The structure in POSCAR format:
```
CdCo2Se2
1.0
-1.803 1.803 7.877
1.803 -1.803 7.877
1.803 1.803 -7.877
Cd Co Se
1 2 2
Direct
0.000 0.000 0.000 Cd
0.250 0.750 0.500 Co
0.750 0.250 0.500 Co
0.343 0.343 0.000 Se
0.657 0.657 0.000 Se
```

Summary:
Symmetry ... I4/mmm, No. 139
Raw formation energy ... -140 meV/atom

---

(5)
VASP calculation (PBE) on a relaxed CdCoSe2 crystal.

The structure in POSCAR format:
```
CdCoSe2
1.0
1.881 -2.294 0.000
1.881 2.294 0.000
0.000 0.000 9.441
Cd Co Se
1 1 2
Direct
0.000 0.000 0.000 Cd
0.000 0.000 0.500 Co
0.500 0.500 0.336 Se
0.500 0.500 0.664 Se
```

Summary:
Symmetry ... Cmmm, No. 65
Raw formation energy ... 132 meV/atom

---

(6)
VASP calculation (PBE) on a relaxed CdCoSe2 crystal.

The structure in POSCAR format:
```
CdCoSe2
1.0
0.000 3.360 3.360
3.360 0.000 3.360
3.360 3.360 0.000
Cd Co Se
1 1 2
Direct
0.000 0.000 0.000 Cd
0.750 0.750 0.750 Co
0.250 0.250 0.250 Se
0.500 0.500 0.500 Se
```

Summary:
Symmetry ... F-43m, No. 216
Raw formation energy ... 591 meV/atom

---

(7)
VASP calculation (PBE) on a relaxed CdCoSe2 crystal.

The structure in POSCAR format:
```
CdCoSe2
1.0
3.136 -1.813 0.000
3.136 1.813 0.000
-2.103 0.000 6.768
Cd Co Se
1 1 2
Direct
0.000 0.000 0.000 Cd
0.500 0.500 0.500 Co
0.228 0.228 0.683 Se
0.772 0.772 0.317 Se
```

Summary:
Symmetry ... C2/m, No. 12
Raw formation energy ... -215 meV/atom

---

(8)
VASP calculation (PBE) on a relaxed CdCoSe2 crystal.

The structure in POSCAR format:
```
CdCoSe2
1.0
-2.936 2.936 5.789
2.936 -2.936 5.789
2.936 2.936 -5.789
Cd Co Se
2 2 4
Direct
0.000 0.000 0.000 Cd
0.750 0.250 0.500 Cd
0.250 0.750 0.500 Co
0.500 0.500 0.000 Co
0.168 0.625 0.043 Se
0.375 0.418 0.543 Se
0.582 0.125 0.957 Se
0.875 0.832 0.457 Se
```

Summary:
Symmetry ... I-42d, No. 122
Raw formation energy ... -254 meV/atom

---

(9)
VASP calculation (PBE) on a relaxed CdCoSe2 crystal.

The structure in POSCAR format:
```
CdCoSe2
1.0
-1.842 1.842 7.264
1.842 -1.842 7.264
1.842 1.842 -7.264
Cd Co Se
1 1 2
Direct
0.000 0.000 0.000 Cd
0.250 0.750 0.500 Co
0.500 0.500 0.000 Se
0.750 0.250 0.500 Se
```

Summary:
Symmetry ... I-4m2, No. 119
Raw formation energy ... 268 meV/atom

---

(10)
VASP calculation (PBE) on a relaxed CdCoSe2 crystal.

The structure in POSCAR format:
```
CdCoSe2
1.0
3.384 0.000 0.000
0.000 4.720 0.000
0.000 0.000 4.734
Cd Co Se
1 1 2
Direct
0.000 0.000 0.000 Cd
0.000 0.500 0.500 Co
0.500 0.000 0.500 Se
0.500 0.500 0.000 Se
```

Summary:
Symmetry ... Pmmm, No. 47
Raw formation energy ... 358 meV/atom

---

(11)
VASP calculation (PBE) on a relaxed CdCoSe2 crystal.

The structure in POSCAR format:
```
CdCoSe2
1.0
1.787 1.032 7.849
-1.787 1.032 7.849
0.000 -2.063 7.849
Cd Co Se
1 1 2
Direct
0.000 0.000 0.000 Cd
0.500 0.500 0.500 Co
0.116 0.116 0.116 Se
0.884 0.884 0.884 Se
```

Summary:
Symmetry ... R-3m, No. 166
Raw formation energy ... -208 meV/atom

---

(12)
VASP calculation (PBE) on a relaxed CdCoSe2 crystal.

The structure in POSCAR format:
```
CdCoSe2
1.0
4.422 0.000 0.000
0.000 3.925 0.000
-1.026 0.000 5.866
Cd Co Se
1 1 2
Direct
0.000 0.000 0.000 Cd
0.449 0.500 0.877 Co
0.360 0.000 0.676 Se
0.768 0.500 0.222 Se
```

Summary:
Symmetry ... Pm, No. 6
Raw formation energy ... -57 meV/atom

---

| no. | final energy (eV/atom) | calculated volume (Å³/atom) |
| --- | --- | --- |
| 1 | -5.5634 | 26.15 |
| 2 | -5.4918 | 20.55 |
| 3 | -5.1744 | 19.51 |
| 4 | -4.5591 | 20.49 |
| 5 | -3.6150 | 20.37 |
| 6 | -3.1563 | 18.96 |
| 7 | -3.9621 | 19.23 |
| 8 | -4.0013 | 24.95 |
| 9 | -3.4797 | 24.65 |
| 10 | -3.3900 | 18.91 |
| 11 | -3.9554 | 21.71 |
| 12 | -3.8043 | 25.45 |